No. 1
Material: Li2CaAuN
Method: DFT, PBE
State: relaxed

Geometry as extended XYZ:
```
10
Lattice="-1.7822 0.5848 2.8925 -3.2354 -5.4061 -2.9549 4.2646 -4.4840 3.5341" Properties=species:S:1:pos:R:3 pbc="T T T"
Li 2.9046 -5.7186 2.9458
Li -3.6577 -3.5867 0.5260
Li 1.1659 -3.8904 1.5049
Li -1.9189 -5.4149 1.9669
Ca -0.7617 -8.2705 1.2028
Ca 0.0087 -1.0348 2.2690
Au 0.2794 -5.5837 3.3555
Au -1.0325 -3.7216 0.1163
N 0.0000 0.0000 0.0000
N 2.1323 -2.2420 1.7671
```

As for the electronic total energy: -39.81 eV for the cell shown. Its space group is Cmcm. Its spin magnetization is 0.00 Bohr magnetons per cell. The energy relative to the elements, uncorrected is -0.50 eV/atom. The calculation puts the density of states at the Fermi level at 1.78 states/eV per cell.

***

No. 2
Material: TlCrFe2
Method: DFT, PBE
State: relaxed

Geometry as extended XYZ:
```
4
Lattice="4.6772 0.0194 -0.0210 3.7009 2.8600 -0.0210 1.1972 0.4115 4.5363" Properties=species:S:1:pos:R:3 pbc="T T T"
Cr 2.4591 0.8452 0.8560
Fe 0.0691 0.0238 0.0181
Fe 7.0659 2.4284 3.5658
Tl 4.7688 1.6389 2.3017
```

The energy relative to the elements is 0.5306 eV/atom. As for the electronic total energy: -26.79 eV for the cell shown. Its space group is Cm. Its spin magnetization is 1.68 Bohr magnetons per cell. The calculation puts the energy relative to the lowest polymorph listed for this composition at 64.4 meV/atom. The calculation puts the density of states at the Fermi level at 3.58 states/eV per cell.

***

No. 3
Material: Li2Cd4Hg3
Method: DFT, PBE
State: relaxed

Geometry as extended XYZ:
```
18
Lattice="-2.1019 -4.8988 -0.7318 6.3560 -4.7386 3.7129 -2.5929 -1.5713 8.2126" Properties=species:S:1:pos:R:3 pbc="T T T"
Li 3.0812 -5.1381 6.6041
Li 1.9227 -4.4323 3.8032
Li -1.4200 -6.0706 4.5896
Li -0.2615 -6.7764 7.3905
Cd -2.6616 -4.2478 6.5857
Cd -3.2147 -7.1144 7.5036
Cd 4.3228 -6.9609 4.6080
Cd 4.8759 -4.0943 3.6901
Cd 2.4806 -7.9425 7.5443
Cd 0.3042 -6.4852 2.1900
Cd -0.8195 -3.2662 3.6494
Cd 1.3569 -4.7235 9.0037
Hg 4.1219 -5.9650 9.2386
Hg 0.8946 -3.6099 1.1623
Hg -2.4608 -5.2437 1.9551
Hg 0.7665 -7.5988 10.0314
Hg 0.4811 -4.0700 6.2197
Hg 1.1800 -7.1387 4.9740
```

The energy relative to the elements is -0.1443 eV/atom. As for the electronic total energy: -19.38 eV for the cell shown. Its space group is C2/c. Its spin magnetization is 0.00 Bohr magnetons per cell. The calculation puts the energy relative to the lowest polymorph listed for this composition at 3.2 meV/atom. The calculation puts the density of states at the Fermi level at 5.80 states/eV per cell.

***

No. 4
Material: Nd7Sm3
Method: DFT, PBE
State: relaxed

Geometry as extended XYZ:
```
20
Lattice="-0.8215 0.3621 6.3256 -11.1565 -0.2496 -1.4345 5.7218 -9.6008 1.2927" Properties=species:S:1:pos:R:3 pbc="T T T"
Nd -6.3239 -3.0169 5.5848
Nd -0.2870 -6.3150 3.3311
Nd -6.1896 -7.2661 5.2803
Nd -9.9115 -1.0210 4.4394
Nd -2.6546 -0.8586 5.3725
Nd -0.2774 -2.1292 2.5275
Nd 3.4446 -8.3743 3.3684
Nd -3.8124 -8.5367 2.4352
Nd -0.0615 -9.0933 2.0606
Nd -2.4411 -5.1006 1.5230
Nd 2.1986 -4.9968 2.1196
Nd -6.1780 -0.4023 3.9952
Nd -3.7984 -4.3951 4.5329
Nd -8.4381 -4.4989 3.9363
Sm -0.6468 -3.8644 5.7025
Sm 1.3892 -7.2806 6.1625
Sm -2.5805 -7.3694 5.6521
Sm -5.7940 -5.5425 1.9036
Sm -7.8300 -2.1263 1.4437
Sm -3.8603 -2.0375 1.9541
```

The energy relative to the elements is 0.1661 eV/atom. As for the electronic total energy: -91.74 eV for the cell shown. Its space group is P6_3mc. Its spin magnetization is 0.00 Bohr magnetons per cell. The calculation puts the energy relative to the lowest polymorph listed for this composition at 151.9 meV/atom. The calculation puts the density of states at the Fermi level at 36.00 states/eV per cell.

***

No. 5
Material: NiTeSe3
Method: DFT, PBE
State: relaxed

Geometry as extended XYZ:
```
10
Lattice="4.1051 0.0000 0.0000 -2.0525 8.2994 0.6864 0.0000 -1.4436 7.0459" Properties=species:S:1:pos:R:3 pbc="T T T"
Ni 2.0525 5.3050 1.2936
Ni 0.0000 1.5508 6.4387
Te 2.0525 0.6899 2.6974
Te 0.0000 6.1659 5.0349
Se 2.0525 4.8671 3.6306
Se 0.0000 3.8205 7.1563
Se 0.0000 -0.7405 6.0236
Se 0.0000 1.9887 4.1018
Se 2.0525 7.5963 1.7087
Se 2.0525 3.0352 0.5760
```

As for the electronic total energy: -39.56 eV for the cell shown. Its space group is C2/m. Its spin magnetization is 0.00 Bohr magnetons per cell. The calculation puts the energy relative to the lowest polymorph listed for this composition at 0.0 meV/atom. The energy relative to the elements, uncorrected is -0.08 eV/atom. The calculation puts the density of states at the Fermi level at 4.61 states/eV per cell.

***

No. 6
Material: LuTh2Fe
Method: DFT, PBE
State: relaxed

Geometry as extended XYZ:
```
4
Lattice="3.4833 0.0000 0.0000 0.0000 3.4833 0.0000 0.0000 0.0000 8.6516" Properties=species:S:1:pos:R:3 pbc="T T T"
Lu 1.7416 1.7416 4.3258
Fe 1.7416 1.7416 0.0000
Th 0.0000 0.0000 6.9174
Th 0.0000 0.0000 1.7341
```

The energy relative to the elements is 0.0920 eV/atom. As for the electronic total energy: -27.46 eV for the cell shown. Its space group is P4/mmm. Its spin magnetization is 2.20 Bohr magnetons per cell. The calculation puts the energy relative to the lowest polymorph listed for this composition at 0.0 meV/atom. The calculation puts the density of states at the Fermi level at 5.12 states/eV per cell.